Entry 1:
## Ho2TmIn3S6 (GGA-PBE)

Data for a geometry-optimized Ho2TmIn3S6 structure.

Computed properties:
formation energy from raw total energies	-16.860	eV per formula unit

The structure in extended XYZ format:
```
12
Lattice="3.4312 -5.9431 0.0000 3.4312 5.9431 0.0000 -2.2875 0.0000 7.5174" Properties=species:S:1:pos:R:3 pbc="T T T"
Ho 3.4312 3.9624 0.0000
Ho 3.4312 -3.9624 0.0000
Tm 3.4312 0.0000 0.0000
In -1.1438 0.0000 3.7587
In 2.2874 1.9874 3.7587
In 2.2874 -1.9874 3.7587
S 0.0079 1.9669 6.0195
S 1.1599 0.0000 1.5033
S 0.0079 -1.9669 6.0195
S 4.5670 1.9669 1.4979
S 3.4150 0.0000 6.0140
S 4.5670 -1.9669 1.4979
```

=====

Entry 2:
## Ac2Pm3PrSe6 (GGA-PBE)

Data for a geometry-optimized Ac2Pm3PrSe6 structure.

Computed properties:
formation energy from raw total energies	-22.095	eV per formula unit

The structure in extended XYZ format:
```
12
Lattice="3.7019 -6.4394 0.0000 3.7019 6.4394 0.0000 -2.4841 0.0000 7.0672" Properties=species:S:1:pos:R:3 pbc="T T T"
Ac 3.7019 4.3034 0.0000
Ac 3.7019 -4.3034 0.0000
Pm -1.2420 0.0000 3.5336
Pm 2.4599 2.1642 3.5336
Pm 2.4599 -2.1642 3.5336
Pr 3.7019 0.0000 0.0000
Se 0.0083 2.1150 5.2087
Se 1.2717 0.0000 1.8778
Se 0.0083 -2.1150 5.2087
Se 4.9114 2.1150 1.8586
Se 3.6480 0.0000 5.1894
Se 4.9114 -2.1150 1.8586
```

=====

Entry 3:
## HoCd3Pb (GGA-PBE)

Data for a geometry-optimized HoCd3Pb structure.

Computed properties:
DFT formation energy	-0.24	eV per atom

The structure in extended XYZ format:
```
10
Lattice="4.4832 0.0000 0.0000 0.0000 4.5126 0.0000 -2.1731 0.0000 12.1164" Properties=species:S:1:pos:R:3 pbc="T T T"
Ho 0.0075 0.0000 2.4756
Ho 2.3026 0.0000 9.6408
Cd 0.0000 2.2563 0.0000
Cd 0.0249 2.2563 4.9280
Cd 0.0434 0.0000 7.1234
Cd 2.2416 0.0000 0.0000
Cd 2.2666 0.0000 4.9931
Cd 2.2851 2.2563 7.1884
Pb 0.0603 2.2563 9.6778
Pb 2.2498 2.2563 2.4387
```

=====

Entry 4:
## La3Ga3Pd2 (GGA-PBE)

Data for a geometry-optimized La3Ga3Pd2 structure.

Computed properties:
DFT formation energy	-0.75	eV per atom

The structure in extended XYZ format:
```
32
Lattice="8.4554 0.0000 0.0000 0.0000 15.7579 0.0000 0.0000 0.0000 5.6857" Properties=species:S:1:pos:R:3 pbc="T T T"
La 0.3636 1.6910 0.7049
La 0.3636 6.1879 0.7049
La 1.5393 3.9395 3.5148
La 2.6884 11.8184 0.6719
La 3.8642 9.5700 3.5477
La 3.8642 14.0669 3.5477
La 4.5913 1.6910 2.1380
La 4.5913 6.1879 2.1380
La 5.7670 3.9395 5.0138
La 6.9161 11.8184 2.1709
La 8.0919 9.5700 4.9808
La 8.0919 14.0669 4.9808
Ga 1.4059 11.8184 3.4827
Ga 1.5707 0.5818 3.4667
Ga 1.5707 7.2972 3.4667
Ga 2.6570 8.4607 0.6239
Ga 2.6570 15.1762 0.6239
Ga 2.8218 3.9395 0.6398
Ga 5.6337 11.8184 5.0459
Ga 5.7984 0.5818 5.0618
Ga 5.7984 7.2972 5.0618
Ga 6.8847 8.4607 2.2190
Ga 6.8847 15.1762 2.2190
Ga 7.0495 3.9395 2.2030
Pd 0.8425 9.5580 2.1282
Pd 0.8425 14.0789 2.1282
Pd 3.3852 1.6790 4.9711
Pd 3.3852 6.2000 4.9711
Pd 5.0702 9.5580 0.7146
Pd 5.0702 14.0789 0.7146
Pd 7.6129 1.6790 3.5575
Pd 7.6129 6.2000 3.5575
```

=====

Entry 5:
## La3BN2O3 (GGA-PBE)

Data for a geometry-optimized La3BN2O3 structure.

Computed properties:
formation energy from raw total energies	-22.544	eV per formula unit

The structure in extended XYZ format:
```
36
Lattice="12.7517 0.0000 0.0000 0.0000 3.7173 0.0000 0.0000 0.0000 11.0571" Properties=species:S:1:pos:R:3 pbc="T T T"
La 1.4625 0.9293 1.2318
La 1.4851 2.7879 4.6194
La 1.6255 0.9293 8.0110
La 4.7503 2.7879 2.4824
La 4.8908 0.9293 10.1480
La 4.9134 2.7879 6.7603
La 7.8383 0.9293 4.2968
La 7.8609 2.7879 0.9091
La 8.0013 0.9293 8.5747
La 11.1262 2.7879 3.0461
La 11.2666 0.9293 6.4377
La 11.2892 2.7879 9.8253
B 2.6756 2.7879 10.1523
B 3.7002 0.9293 4.6237
B 9.0515 2.7879 6.4334
B 10.0760 0.9293 0.9048
N 2.9615 0.9293 5.8835
N 3.0388 0.9293 3.3160
N 3.3371 2.7879 8.8446
N 3.4143 2.7879 0.3550
N 9.3374 0.9293 10.7021
N 9.4146 0.9293 2.2125
N 9.7129 2.7879 7.7411
N 9.7901 2.7879 5.1736
O 0.4398 2.7879 6.7459
O 0.6911 2.7879 2.3361
O 1.2293 2.7879 10.1936
O 5.1465 0.9293 4.6651
O 5.6848 0.9293 7.8647
O 5.9360 0.9293 1.2174
O 6.8157 2.7879 9.8397
O 7.0669 2.7879 3.1924
O 7.6051 2.7879 6.3920
O 11.5224 0.9293 0.8635
O 12.0606 0.9293 8.7210
O 12.3118 0.9293 4.3112
```

=====

Entry 6:
## HgCSe2Br (GGA-PBE)

Data for a geometry-optimized HgCSe2Br structure.

Computed properties:
formation energy from raw total energies	9.500	eV per formula unit

The structure in extended XYZ format:
```
5
Lattice="5.3638 0.0000 0.0000 0.0000 5.3638 0.0000 0.0000 0.0000 5.4753" Properties=species:S:1:pos:R:3 pbc="T T T"
Hg 0.0000 0.0000 0.0000
C 2.6819 2.6819 2.7377
Se 0.0000 2.6819 0.0000
Se 2.6819 0.0000 0.0000
Br 0.0000 0.0000 2.7377
```

=====

Entry 7:
## BaVSi2Ni (GGA-PBE)

Data for a geometry-optimized BaVSi2Ni structure.

Computed properties:
formation energy from raw total energies	12.408	eV per formula unit

The structure in extended XYZ format:
```
5
Lattice="5.5263 0.0000 0.0000 0.0000 5.5263 0.0000 0.0000 0.0000 5.3358" Properties=species:S:1:pos:R:3 pbc="T T T"
Ba 0.0000 0.0000 0.0000
V 0.0000 0.0000 2.6679
Si 0.0000 2.7632 0.0000
Si 2.7632 0.0000 0.0000
Ni 2.7632 2.7632 2.6679
```

=====

Entry 8:
## ScCu3Si (GGA-PBE)

Data for a geometry-optimized ScCu3Si structure.

Computed properties:
formation energy from raw total energies	0.541	eV per formula unit

The structure in extended XYZ format:
```
5
Lattice="4.3718 0.0000 0.0000 0.0000 4.3718 0.0000 0.0000 0.0000 4.3718" Properties=species:S:1:pos:R:3 pbc="T T T"
Sc 0.0000 0.0000 0.0000
Cu 0.0000 2.1859 2.1859
Cu 2.1859 0.0000 2.1859
Cu 2.1859 2.1859 0.0000
Si 2.1859 2.1859 2.1859
```

=====

Which formula does entry 1 have?
Ho2TmIn3S6

=====

Repeat the eighth record exactly.
## ScCu3Si (GGA-PBE)

Data for a geometry-optimized ScCu3Si structure.

Computed properties:
formation energy from raw total energies	0.541	eV per formula unit

The structure in extended XYZ format:
```
5
Lattice="4.3718 0.0000 0.0000 0.0000 4.3718 0.0000 0.0000 0.0000 4.3718" Properties=species:S:1:pos:R:3 pbc="T T T"
Sc 0.0000 0.0000 0.0000
Cu 0.0000 2.1859 2.1859
Cu 2.1859 0.0000 2.1859
Cu 2.1859 2.1859 0.0000
Si 2.1859 2.1859 2.1859
```